4
Lattice="0.0000 3.4024 3.4024 3.4024 0.0000 3.4024 3.4024 3.4024 0.0000" Properties=species:S:1:pos:R:3 comment="ErPaFeIr | Alexandria via LeMat-Bulk | PBE | optimized geometry" formation_enthalpy_0k_ev_per_atom=-0.35 sg="F-43m, No. 216" crystal_system=cubic pbc="T T T"
Er 0.0000 0.0000 0.0000
Pa 3.4024 3.4024 3.4024
Fe 1.7012 1.7012 1.7012
Ir 5.1036 5.1036 5.1036

10
Lattice="7.6580 0.0000 0.0000 0.0000 7.6580 0.0000 0.0000 0.0000 3.8389" Properties=species:S:1:pos:R:3 comment="Pm2CdRh2 | Alexandria via LeMat-Bulk | PBE | optimized geometry" formation_enthalpy_0k_ev_per_atom=-0.63 sg="P4/mbm, No. 127" crystal_system=tetragonal pbc="T T T"
Pm 1.2715 2.5575 0.0000
Pm 2.5575 6.3865 0.0000
Pm 5.1005 1.2715 0.0000
Pm 6.3865 5.1005 0.0000
Cd 0.0000 0.0000 1.9194
Cd 3.8290 3.8290 1.9194
Rh 1.0359 4.8649 1.9194
Rh 2.7931 1.0359 1.9194
Rh 4.8649 6.6221 1.9194
Rh 6.6221 2.7931 1.9194

8
Lattice="5.8966 0.0000 0.0000 0.0000 5.8966 0.0000 0.0000 0.0000 5.8966" Properties=species:S:1:pos:R:3 comment="Pm4PdPt3 | Alexandria via LeMat-Bulk | PBE | optimized geometry" de_polymorph_ev_per_atom=0.1237 formation_enthalpy_0k_ev_per_atom=-0.98 sg="Pm-3m, No. 221" crystal_system=cubic pbc="T T T"
Pm 0.0000 0.0000 0.0000
Pm 0.0000 2.9483 2.9483
Pm 2.9483 0.0000 2.9483
Pm 2.9483 2.9483 0.0000
Pd 2.9483 2.9483 2.9483
Pt 0.0000 0.0000 2.9483
Pt 0.0000 2.9483 0.0000
Pt 2.9483 0.0000 0.0000

5
Lattice="4.8997 0.0000 0.0000 0.0000 4.8997 0.0000 0.0000 0.0000 4.8997" Properties=species:S:1:pos:R:3 comment="Na3ReC | Alexandria via LeMat-Bulk | PBE | optimized geometry" de_polymorph_ev_per_atom=0.0000 formation_enthalpy_0k_ev_per_atom=2.00 sg="Pm-3m, No. 221" crystal_system=cubic pbc="T T T"
Na 0.0000 0.0000 2.4499
Na 0.0000 2.4499 0.0000
Na 2.4499 0.0000 0.0000
Re 2.4499 2.4499 2.4499
C 0.0000 0.0000 0.0000

8
Lattice="-3.8360 3.8360 2.6943 3.8360 -3.8360 2.6943 3.8360 3.8360 -2.6943" Properties=species:S:1:pos:R:3 comment="ScTa2Ga | Alexandria via LeMat-Bulk | PBE | optimized geometry" formation_enthalpy_0k_ev_per_atom=0.44 sg="I-42d, No. 122" crystal_system=tetragonal pbc="T T T"
Sc 0.0000 0.0000 0.0000
Sc 0.0000 3.8360 1.3471
Ta 1.9180 -1.6652 2.0207
Ta 2.1707 1.9180 0.6736
Ta 1.9180 5.5012 -0.6736
Ta 1.6652 1.9180 3.3678
Ga 3.8360 0.0000 1.3471
Ga 0.0000 0.0000 2.6943

5
Lattice="-1.5847 1.5847 4.6638 1.5847 -1.5847 4.6638 1.5847 1.5847 -4.6638" Properties=species:S:1:pos:R:3 comment="Co2SbH2 | Alexandria via LeMat-Bulk | PBE | optimized geometry" de_polymorph_ev_per_atom=0.0000 sg="I4/mmm, No. 139" crystal_system=tetragonal pbc="T T T"
Co 0.0000 0.0000 1.4511
Co 0.0000 0.0000 7.8765
Sb 0.0000 0.0000 4.6638
H 1.5847 0.0000 2.3319
H 0.0000 1.5847 2.3319

6
Lattice="0.0000 3.3911 3.3911 3.3911 0.0000 3.3911 3.3911 3.3911 0.0000" Properties=species:S:1:pos:R:3 comment="Fe2Ge | Alexandria via LeMat-Bulk | PBE | optimized geometry" formation_enthalpy_0k_ev_per_atom=0.18 sg="Fd-3m, No. 227" crystal_system=cubic pbc="T T T"
Fe 0.0000 0.0000 0.0000
Fe 1.6955 1.6955 0.0000
Fe 1.6955 0.0000 1.6955
Fe 0.0000 1.6955 1.6955
Ge 2.5433 2.5433 2.5433
Ge 4.2388 4.2388 4.2388

10
Lattice="2.5037 -9.7229 0.0000 2.5037 9.7229 0.0000 0.0000 0.0000 4.9935" Properties=species:S:1:pos:R:3 comment="Ho3AgPt | Alexandria via LeMat-Bulk | PBE | optimized geometry" de_polymorph_ev_per_atom=0.0000 formation_enthalpy_0k_ev_per_atom=-0.62 sg="Cmcm, No. 63" crystal_system=orthorhombic pbc="T T T"
Ho 2.5037 8.3716 3.7451
Ho 2.5037 4.8570 3.7451
Ho 2.5037 1.3589 3.7451
Ho 2.5037 -1.3589 1.2484
Ho 2.5037 -4.8570 1.2484
Ho 2.5037 -8.3716 1.2484
Ag 2.5037 6.6504 1.2484
Ag 2.5037 -6.6504 3.7451
Pt 2.5037 3.1297 1.2484
Pt 2.5037 -3.1297 3.7451

10
Lattice="3.3532 1.9360 6.1292 -3.3532 1.9360 6.1292 0.0000 -3.8719 6.1292" Properties=species:S:1:pos:R:3 comment="NaLi2TbCl6 | Alexandria via LeMat-Bulk | PBE | optimized geometry" raw_formation_energy_ev_per_fu=-19.92 sg="R3, No. 146" crystal_system=trigonal pbc="T T T"
Na 0.0000 0.0000 0.0000
Li 0.0000 0.0000 5.4036
Li 0.0000 0.0000 14.6753
Tb 0.0000 0.0000 9.0456
Cl -2.0298 -0.2015 7.3096
Cl -1.2102 -1.9959 10.3188
Cl 1.1894 -1.6572 7.3096
Cl -1.1234 2.0460 10.3188
Cl 0.8404 1.8586 7.3096
Cl 2.3336 -0.0501 10.3188

4
Lattice="3.1725 0.0000 0.0000 0.0000 3.1725 0.0000 0.0000 0.0000 6.1020" Properties=species:S:1:pos:R:3 comment="Ti2ZnTc | Alexandria via LeMat-Bulk | PBE | optimized geometry" formation_enthalpy_0k_ev_per_atom=-0.40 sg="P4/mmm, No. 123" crystal_system=tetragonal pbc="T T T"
Ti 0.0000 0.0000 1.4535
Ti 0.0000 0.0000 4.6485
Zn 1.5862 1.5862 3.0510
Tc 1.5862 1.5862 0.0000

8
Lattice="4.8034 0.0000 0.0000 0.0000 4.8034 0.0000 0.0000 0.0000 9.5940" Properties=species:S:1:pos:R:3 comment="TbCeTl6 | Alexandria via LeMat-Bulk | PBE | optimized geometry" formation_enthalpy_0k_ev_per_atom=-0.25 sg="P4/mmm, No. 123" crystal_system=tetragonal pbc="T T T"
Tb 0.0000 0.0000 0.0000
Ce 0.0000 0.0000 4.7970
Tl 0.0000 2.4017 2.3747
Tl 0.0000 2.4017 7.2193
Tl 2.4017 0.0000 2.3747
Tl 2.4017 0.0000 7.2193
Tl 2.4017 2.4017 0.0000
Tl 2.4017 2.4017 4.7970

19
Lattice="7.9990 -3.7005 0.0000 7.9990 3.7005 0.0000 -2.6676 0.0000 9.0054" Properties=species:S:1:pos:R:3 comment="Rb12O5F2 | Alexandria via LeMat-Bulk | PBE | optimized geometry" raw_formation_energy_ev_per_fu=-23.64 sg="C2/m, No. 12" crystal_system=monoclinic pbc="T T T"
Rb -0.6955 0.0000 2.6134
Rb 4.0420 1.9733 3.4979
Rb 3.0021 1.8643 8.4949
Rb 10.3282 1.8643 0.5105
Rb 9.2883 1.9733 5.5075
Rb 5.4994 0.0000 6.3686
Rb 7.8310 0.0000 2.6368
Rb 4.0420 -1.9733 3.4979
Rb 3.0021 -1.8643 8.4949
Rb 10.3282 -1.8643 0.5105
Rb 9.2883 -1.9733 5.5075
Rb 14.0259 0.0000 6.3920
O 2.0086 0.0000 3.1071
O 0.8274 0.0000 7.6487
O 7.9990 0.0000 0.0000
O 12.5029 0.0000 1.3567
O 11.3218 0.0000 5.8983
F 6.6652 1.7294 4.5027
F 6.6652 -1.7294 4.5027

4
Lattice="-1.9206 1.9206 4.1236 1.9206 -1.9206 4.1236 1.9206 1.9206 -4.1236" Properties=species:S:1:pos:R:3 comment="BeCd2Ni | Alexandria via LeMat-Bulk | PBE | optimized geometry" formation_enthalpy_0k_ev_per_atom=0.22 sg="I-4m2, No. 119" crystal_system=tetragonal pbc="T T T"
Be 0.0000 0.0000 0.0000
Cd 1.9206 0.0000 2.0618
Cd 0.0000 0.0000 4.1236
Ni 0.0000 1.9206 2.0618

7
Lattice="8.2366 -1.7495 0.0000 8.2366 1.7495 0.0000 -4.2582 0.0000 7.5517" Properties=species:S:1:pos:R:3 comment="NdHo2Tm4 | Alexandria via LeMat-Bulk | PBE | optimized geometry" de_polymorph_ev_per_atom=0.0000 formation_enthalpy_0k_ev_per_atom=0.04 sg="C2/m, No. 12" crystal_system=monoclinic pbc="T T T"
Nd 0.0000 0.0000 0.0000
Ho -0.6745 0.0000 3.2467
Ho 12.8893 0.0000 4.3050
Tm 1.8399 0.0000 5.3290
Tm 5.1717 0.0000 1.2550
Tm 7.0432 0.0000 6.2966
Tm 10.3750 0.0000 2.2227

8
Lattice="3.2597 0.0000 0.0000 0.0000 3.2597 0.0000 0.0000 0.0000 11.2191" Properties=species:S:1:pos:R:3 comment="ReRh | Alexandria via LeMat-Bulk | PBE | optimized geometry" de_polymorph_ev_per_atom=0.4277 formation_enthalpy_0k_ev_per_atom=0.25 sg="P4/mmm, No. 123" crystal_system=tetragonal pbc="T T T"
Re 0.0000 0.0000 1.4950
Re 0.0000 0.0000 9.7240
Re 1.6298 1.6298 2.7768
Re 1.6298 1.6298 8.4423
Rh 0.0000 0.0000 4.2293
Rh 0.0000 0.0000 6.9897
Rh 1.6298 1.6298 0.0000
Rh 1.6298 1.6298 5.6095

4
Lattice="4.5737 -1.4361 0.0000 4.5737 1.4361 0.0000 -0.2529 0.0000 4.5573" Properties=species:S:1:pos:R:3 comment="FeRh2Cl | Alexandria via LeMat-Bulk | PBE | optimized geometry" raw_formation_energy_ev_per_fu=1.34 sg="C2/m, No. 12" crystal_system=monoclinic pbc="T T T"
Fe 0.0000 0.0000 0.0000
Rh 2.3461 0.0000 3.4947
Rh 6.5484 0.0000 1.0626
Cl 4.4473 0.0000 2.2787

7
Lattice="-1.6511 1.6511 13.5819 1.6511 -1.6511 13.5819 1.6511 1.6511 -13.5819" Properties=species:S:1:pos:R:3 comment="Hf5Nb2 | Alexandria via LeMat-Bulk | PBE | optimized geometry" formation_enthalpy_0k_ev_per_atom=0.06 sg="I4/mmm, No. 139" crystal_system=tetragonal pbc="T T T"
Hf 0.0000 0.0000 0.0000
Hf 0.0000 0.0000 4.1970
Hf 0.0000 0.0000 11.4843
Hf 0.0000 0.0000 15.6795
Hf 0.0000 0.0000 22.9669
Nb 0.0000 0.0000 7.5515
Nb 0.0000 0.0000 19.6123

4
Lattice="3.6297 0.0000 0.0000 0.0000 3.6297 0.0000 0.0000 0.0000 8.9624" Properties=species:S:1:pos:R:3 comment="EuHo2Au | Alexandria via LeMat-Bulk | PBE | optimized geometry" de_polymorph_ev_per_atom=0.0000 formation_enthalpy_0k_ev_per_atom=-0.36 sg="P4/mmm, No. 123" crystal_system=tetragonal pbc="T T T"
Eu 0.0000 0.0000 0.0000
Ho 1.8148 1.8148 2.7723
Ho 1.8148 1.8148 6.1901
Au 0.0000 0.0000 4.4812

4
Lattice="1.8208 1.0512 5.8456 -1.8208 1.0512 5.8456 0.0000 -2.1025 5.8456" Properties=species:S:1:pos:R:3 comment="YThCO | Alexandria via LeMat-Bulk | PBE | optimized geometry" raw_formation_energy_ev_per_fu=-6.60 sg="R3m, No. 160" crystal_system=trigonal pbc="T T T"
Y 0.0000 0.0000 0.0000
Th 0.0000 0.0000 8.6955
C 0.0000 0.0000 13.1133
O 0.0000 0.0000 4.3903

4
Lattice="-2.6805 2.6805 4.8274 2.6805 -2.6805 4.8274 2.6805 2.6805 -4.8274" Properties=species:S:1:pos:R:3 comment="BaCaPb2 | Alexandria via LeMat-Bulk | PBE | optimized geometry" formation_enthalpy_0k_ev_per_atom=-0.48 sg="I4/mmm, No. 139" crystal_system=tetragonal pbc="T T T"
Ba 0.0000 0.0000 0.0000
Ca 0.0000 0.0000 4.8274
Pb 2.6805 0.0000 2.4137
Pb 0.0000 2.6805 2.4137